(1)
{
  "formula": "NaAl2CrI",
  "functional": "meta-GGA SCAN",
  "state": "PBEsol geometry",
  "final_energy_ev_per_atom": -14.60,
  "n_ef_per_ev_cell": 2.80,
  "volume_a3_per_atom": 29.019,
  "lattice_angstrom": [[4.890, 0.000, 0.000], [0.000, 4.890, 0.000], [0.000, 0.000, 6.068]],
  "species": ["Na", "Al", "Al", "Cr", "I"],
  "fractional_positions": [[0.000, 0.000, 0.000], [0.000, 0.500, 0.500], [0.500, 0.000, 0.500], [0.000, 0.000, 0.500], [0.500, 0.500, 0.000]]
}

(2)
{
  "formula": "Al3CrIn",
  "functional": "meta-GGA SCAN",
  "state": "PBEsol geometry",
  "formation_energy_mev_per_atom": 1103,
  "n_ef_per_ev_cell": 2.95,
  "volume_a3_per_atom": 26.696,
  "lattice_angstrom": [[5.111, 0.000, 0.000], [0.000, 5.111, 0.000], [0.000, 0.000, 5.111]],
  "species": ["Al", "Al", "Al", "Cr", "In"],
  "fractional_positions": [[0.000, 0.000, 0.500], [0.000, 0.500, 0.000], [0.500, 0.000, 0.000], [0.500, 0.500, 0.500], [0.000, 0.000, 0.000]]
}

(3)
{
  "formula": "AlCr4In",
  "functional": "meta-GGA SCAN",
  "state": "PBEsol geometry",
  "formation_energy_mev_per_atom": 273,
  "n_ef_per_ev_cell": 5.47,
  "volume_a3_per_atom": 13.334,
  "lattice_angstrom": [[0.000, 3.420, 3.420], [3.420, 0.000, 3.420], [3.420, 3.420, 0.000]],
  "species": ["Al", "Cr", "Cr", "Cr", "Cr", "In"],
  "fractional_positions": [[0.000, 0.000, 0.000], [0.375, 0.375, 0.375], [0.375, 0.375, 0.875], [0.375, 0.875, 0.375], [0.875, 0.375, 0.375], [0.750, 0.750, 0.750]]
}